Zn2AsP: optimized geometry, PBE-GGA.

abc: 2.927 3.832 6.765
angles: 90.00 90.00 90.00
Space group Pmm2 (No. 25)
Unique sites:
Zn (0.000, 0.000, 0.000) [1 per cell]
Zn (0.500, 0.500, 0.246) [1 per cell]
As (0.000, 0.000, 0.420) [1 per cell]
P (0.500, 0.500, 0.879) [1 per cell]

Summary:
DFT total energy: -11.98 eV/cell
Fermi-level density of states: 0.390 states/eV per atom
relative energy among the computed polymorphs: 102 meV per atom
total moment: 0.000 μB/cell